[1]
TbDy2Mg3TlGa2 PBE optimized geometry; space group = Amm2, No. 38; calculated density = 7.04 Mg/m³; VASP energy = -3.4299 eV per atom
1.0
-3.012 2.101 -2.684
-0.990 -6.232 -3.766
-4.191 1.470 5.854
Dy Ga Mg Tb Tl
2 2 3 1 1
Direct
0.000 0.563 0.000
0.000 0.000 0.563
0.500 0.667 0.333
0.500 0.333 0.667
0.500 0.250 0.000
0.500 0.000 0.250
0.500 0.750 0.750
0.000 0.437 0.437
0.000 0.999 0.999

[2]
SnTePd PBE optimized geometry; space group = Pbca, No. 61; calculated density = 8.08 Mg/m³; VASP energy = -4.5519 eV per atom
1.0
6.648 0.000 0.000
0.000 6.690 0.000
0.000 0.000 13.043
Pd Sn Te
8 8 8
Direct
0.002 0.177 0.129
0.498 0.677 0.129
0.502 0.177 0.371
0.998 0.677 0.371
0.002 0.323 0.629
0.498 0.823 0.629
0.502 0.323 0.871
0.998 0.823 0.871
0.358 0.318 0.064
0.142 0.818 0.064
0.858 0.318 0.436
0.642 0.818 0.436
0.358 0.182 0.564
0.142 0.682 0.564
0.858 0.182 0.936
0.642 0.682 0.936
0.627 0.052 0.179
0.873 0.552 0.179
0.127 0.052 0.321
0.373 0.552 0.321
0.627 0.448 0.679
0.873 0.948 0.679
0.127 0.448 0.821
0.373 0.948 0.821

[3]
FeReMoPb PBE optimized geometry; space group = F-43m, No. 216; calculated density = 13.85 Mg/m³; VASP energy = -8.1006 eV per atom
1.0
0.806 -3.793 2.326
-2.949 -3.424 -0.166
1.078 -3.808 -2.187
Fe Mo Pb Re
1 1 1 1
Direct
0.750 0.750 0.750
0.250 0.250 0.250
0.000 0.000 0.000
0.500 0.500 0.500

[4]
NaHoO2 PBE optimized geometry; space group = C2/c, No. 15; calculated density = 6.87 Mg/m³; VASP energy = -6.7728 eV per atom
1.0
0.094 6.939 2.383
-2.698 -5.815 3.571
5.659 -1.315 -0.826
Ho Na O
4 4 8
Direct
0.567 0.433 0.250
0.307 0.693 0.250
0.693 0.307 0.750
0.433 0.567 0.750
0.820 0.180 0.250
0.056 0.944 0.250
0.944 0.056 0.750
0.180 0.820 0.750
0.645 0.771 0.211
0.918 0.542 0.212
0.458 0.082 0.288
0.229 0.355 0.289
0.771 0.645 0.711
0.542 0.918 0.712
0.082 0.458 0.788
0.355 0.229 0.789

[5]
PmMo PBE optimized geometry; space group = F-43m, No. 216; calculated density = 5.96 Mg/m³; E above lowest polymorph = 1733 meV per atom
1.0
4.514 0.631 0.178
1.750 3.192 2.748
2.329 -1.225 3.725
Mo Pm
1 1
Direct
0.000 0.000 0.000
0.250 0.250 0.250

[6]
ZrCuTcGe PBE optimized geometry; space group = F-43m, No. 216; calculated density = 8.32 Mg/m³; E above lowest polymorph = 227 meV per atom
1.0
-3.051 1.866 2.750
0.093 4.441 0.791
-3.230 2.660 -1.687
Cu Ge Tc Zr
1 1 1 1
Direct
0.750 0.750 0.750
0.000 0.000 0.000
0.500 0.500 0.500
0.250 0.250 0.250

Copy entry 6 word for word.
ZrCuTcGe PBE optimized geometry; space group = F-43m, No. 216; calculated density = 8.32 Mg/m³; E above lowest polymorph = 227 meV per atom
1.0
-3.051 1.866 2.750
0.093 4.441 0.791
-3.230 2.660 -1.687
Cu Ge Tc Zr
1 1 1 1
Direct
0.750 0.750 0.750
0.000 0.000 0.000
0.500 0.500 0.500
0.250 0.250 0.250